Here is crystalline CeZn2Ni2 at its relaxed geometry from Alexandria via LeMat-Bulk. Energies are from PBE.

Output
ΔE_f	-0.242	eV per atom
symmetry	Fddd, No. 70
V	168.6	Å³ per cell
distance to the lowest polymorph of the same formula	0.40	eV per formula unit
E_tot	-4.251	eV/atom

Structure (POSCAR):
```
CeZn2Ni2
1.0
5.201 -0.357 -0.004
-2.100 4.772 -0.004
-1.541 -2.193 7.009
Zn Ce Ni
4 2 4
Direct
0.481 0.231 0.963
0.269 0.019 0.537
0.519 0.769 0.037
0.731 0.981 0.463
0.125 0.375 0.250
0.875 0.625 0.750
0.597 0.903 0.750
0.403 0.097 0.250
0.847 0.653 0.250
0.153 0.347 0.750
```